No. 1
A plane-wave DFT calculation with PBE was carried out for a geometry-optimized Na2InPd2 structure.

The structure belongs to space group P4/mbm (No. 127); the cell edges are 6.8338, 6.8338 and 4.6994 Å and the angles 90.00°, 90.00° and 90.00°. Symmetry generates all atoms from Na at (0.1653, 0.3347, 0.0000), In at (0.0000, 0.0000, 0.5000) and Pd at (0.1379, 0.6379, 0.5000).

As for the crystal system: tetragonal. The calculation puts the energy above the most stable polymorph in this dataset at 30 meV/atom.

=====

No. 2
A plane-wave DFT calculation with PBE was carried out for a geometry-optimized NaInPd4 structure.

The structure belongs to space group Pmma (No. 51); the cell edges are 8.0152, 3.9882 and 6.9558 Å and the angles 90.00°, 90.00° and 90.00°. Symmetry generates all atoms from Na at (0.2500, 0.0000, 0.1748), In at (0.2500, 0.0000, 0.7584), Pd at (0.0000, 0.0000, 0.5000), Pd at (0.0281, 0.5000, 0.8027) and Pd at (0.2500, 0.5000, 0.4721).

As for the crystal system: orthorhombic. The calculation puts the energy above the most stable polymorph in this dataset at 56 meV/atom.

=====

No. 3
A plane-wave DFT calculation with PBE was carried out for a geometry-optimized NaIn9Pd2 structure.

The structure belongs to space group I4_1/amd (No. 141, origin choice 2); the cell edges are 12.5972, 12.5972 and 7.3966 Å and the angles 90.00°, 90.00° and 90.00°. Symmetry generates all atoms from Na at (0.0000, 0.2500, 0.3750), In at (0.0000, 0.2500, 0.8750), In at (0.1209, 0.0674, 0.6694) and Pd at (0.0000, 0.0000, 0.0000).

As for the crystal system: tetragonal.

=====

No. 4
A plane-wave DFT calculation with PBE was carried out for a geometry-optimized NaIn3Pd structure.

The structure belongs to space group Pm-3m (No. 221); the cell edges are 5.3206, 5.3206 and 5.3206 Å and the angles 90.00°, 90.00° and 90.00°. Symmetry generates all atoms from Na at (0.0000, 0.0000, 0.0000), In at (0.0000, 0.0000, 0.5000) and Pd at (0.5000, 0.5000, 0.5000).

As for the crystal system: cubic. The calculation puts the energy above the most stable polymorph in this dataset at 1030 meV/atom.

=====

No. 5
A plane-wave DFT calculation with PBE was carried out for a geometry-optimized NaIn3Pd2 structure.

The structure belongs to space group Cmcm (No. 63); the cell edges are 13.9111, 6.8250 and 5.8156 Å and the angles 90.00°, 90.00° and 90.00°. Symmetry generates all atoms from Na at (0.0000, 0.1605, 0.2500), In at (0.0000, 0.3680, 0.7500), In at (0.1974, 0.1564, 0.7500) and Pd at (0.1552, 0.5000, 0.0000).

As for the crystal system: orthorhombic. The calculation puts the energy above the most stable polymorph in this dataset at 6 meV/atom.

=====

No. 6
A plane-wave DFT calculation with PBE was carried out for a geometry-optimized Na2InPd structure.

The structure belongs to space group R-3m (No. 166, hexagonal axes); the cell edges are 3.1349, 3.1349 and 33.3293 Å and the angles 90.00°, 90.00° and 120.00°. Symmetry generates all atoms from Na at (0.0000, 0.0000, 0.0803), In at (0.0000, 0.0000, 0.5000) and Pd at (0.0000, 0.0000, 0.0000).

As for the crystal system: trigonal.

=====

No. 7
A plane-wave DFT calculation with PBE was carried out for a geometry-optimized NaIn12Pd4 structure.

The structure belongs to space group Im-3 (No. 204); the cell edges are 9.6649, 9.6649 and 9.6649 Å and the angles 90.00°, 90.00° and 90.00°. Symmetry generates all atoms from Na at (0.0000, 0.0000, 0.0000), In at (0.0000, 0.3355, 0.1620) and Pd at (0.2500, 0.2500, 0.2500).

As for the crystal system: cubic.

=====

No. 8
A plane-wave DFT calculation with PBE was carried out for a geometry-optimized NaIn3Pd structure.

The structure belongs to space group P2_1 (No. 4); the cell edges are 7.3914, 4.3765 and 7.9645 Å and the angles 90.00°, 108.44° and 90.00°. Symmetry generates all atoms from Na at (0.1941, 0.0000, 0.1661), In at (0.0726, 0.0013, 0.6571), In at (0.3277, 0.5007, 0.9069), In at (0.3520, 0.5005, 0.5138) and Pd at (0.4640, 0.0003, 0.7419).

As for the crystal system: monoclinic. The calculation puts the energy above the most stable polymorph in this dataset at 0 meV/atom.

=====

Here are the calculated raw total energy numbers, same order: -3.412; -4.295; -3.185; -2.184; -3.646; -2.489; -3.386; -3.214 (eV/atom).
Here are the calculated total magnetic moment numbers, same order: 0.000; 0.000; 0.000; 0.000; 0.000; 0.000; 0.000; 0.000 (μB/f.u.).